VASP calculation (GGA+U) on a relaxed structure of Li3Fe2CuO6.

Results
The calculation puts the total DFT energy (no corrections) at -0.4213 Ry/atom. As for the symmetry: No. 12. The density of states at the Fermi level comes out at 0.02 states/eV/f.u.

abc: 6.6630 6.6630 5.9540
angles: 76.49 76.49 25.75
With the nearest neighbours (Å) after each atom.
Atoms (fractional coordinates):
O (0.4957, 0.4957, 0.7366)  2 Cu 2.04, 1 Fe 2.05, 3 Li 2.11-2.17
O (0.1700, 0.1700, 0.9295)  3 Fe 2.06, 3 Li 2.15-2.18
O (0.5043, 0.5043, 0.2634)  2 Cu 2.04, 1 Fe 2.05, 3 Li 2.11-2.17
O (0.8376, 0.8376, 0.5922)  2 Fe 2.04, 1 Cu 2.05, 3 Li 2.14-2.21
O (0.8300, 0.8300, 0.0705)  3 Fe 2.06, 3 Li 2.15-2.18
O (0.1624, 0.1624, 0.4078)  2 Fe 2.04, 1 Cu 2.05, 3 Li 2.14-2.21
Li (0.0000, 0.0000, 0.0000)  6 O 2.15-2.17
Li (0.6624, 0.6624, 0.6668)  6 O 2.11-2.21
Li (0.3376, 0.3376, 0.3332)  6 O 2.11-2.21
Cu (0.0000, 0.0000, 0.5000)  6 O 2.04-2.05
Fe (0.6665, 0.6665, 0.1705)  6 O 2.04-2.06
Fe (0.3335, 0.3335, 0.8295)  6 O 2.04-2.06